# La8IrPt2Rh | the Alexandria database | PBE-GGA | relaxed
# calculated formation energy: -0.68 eV per atom
# V: 33.80 Å³/atom
data_La8IrPt2Rh
_cell_length_a 6.823
_cell_length_b 8.570
_cell_length_c 6.938
_cell_angle_alpha 90.00
_cell_angle_beta 91.24
_cell_angle_gamma 90.00
_symmetry_space_group_name_H-M 'P 1 2/m 1'
_symmetry_Int_Tables_number 10
_symmetry_space_group_name_Hall '-P 2y'
loop_
_atom_site_label
_atom_site_type_symbol
_atom_site_fract_x
_atom_site_fract_y
_atom_site_fract_z
La1 La 0.147 0.000 0.249
La2 La 0.149 0.500 0.249
La3 La 0.350 0.250 0.730
Ir1 Ir 0.500 0.500 0.500
Pt1 Pt 0.000 0.250 0.000
Rh1 Rh 0.500 0.000 0.500